Version 1
Here is a geometry-optimized Sr2Ca3Mg structure from Alexandria. Energies are from PBE.

Lattice parameters (Å, degrees): 3.903 6.153 10.806 90.00 90.00 90.00
Positions (direct):
Sr (0.000, 0.000, 0.489)
Sr (0.000, 0.500, 0.015)
Ca (0.500, 0.500, 0.653)
Ca (0.500, 0.000, 0.176)
Ca (0.500, 0.000, 0.834)
Mg (0.500, 0.500, 0.332)

Version 2
Here is a geometry-optimized Sr2Ca3Mg structure from Alexandria. Energies are from PBE.

Lattice parameters (Å, degrees): 5.876 9.324 9.798 90.00 90.00 71.63
Positions (direct):
Ca (0.500, 0.000, 0.228)
Ca (0.500, 0.000, 0.772)
Ca (0.822, 0.355, 0.203)
Ca (0.178, 0.645, 0.203)
Ca (0.178, 0.645, 0.797)
Ca (0.822, 0.355, 0.797)
Sr (0.334, 0.333, 0.500)
Sr (0.000, 0.000, 0.500)
Sr (0.666, 0.667, 0.500)
Sr (0.000, 0.000, 0.000)
Mg (0.653, 0.694, 0.000)
Mg (0.347, 0.306, 0.000)

Tell me which of them is the least stable. Sure, it is version 1.

Version 1
Here is a geometry-optimized CaMgTa structure from Alexandria. Energies are from PBE.

Lattice parameters (Å, degrees): 7.873 7.873 3.055 78.82 78.81 22.37
Each line ends with the local moment (μB).
Positions (direct):
Ta (0.675, 0.675, 0.325)  0.30
Ca (0.009, 0.009, 0.991)  0.09
Mg (0.317, 0.317, 0.683)  0.01

Version 2
Here is a geometry-optimized CaMgTa structure from Alexandria. Energies are from PBE.

Lattice parameters (Å, degrees): 6.131 6.131 6.131 152.08 138.16 51.05
Positions (direct):
Ca (0.997, 0.997, 0.000)
Ta (0.689, 0.689, 0.000)
Mg (0.314, 0.314, 0.000)

Tell me which of them is the least stable. Sure, it is version 2.

Version 1
Here is a geometry-optimized CaMgTa structure from Alexandria. Energies are from PBE.

Lattice parameters (Å, degrees): 3.135 3.135 8.179 90.00 90.00 120.00
Positions (direct):
Mg (0.667, 0.333, 0.355)
Ca (0.000, 0.000, 0.987)
Ta (0.333, 0.667, 0.658)

Version 2
Here is a geometry-optimized CaMgTa structure from Alexandria. Energies are from PBE.

Lattice parameters (Å, degrees): 4.927 4.927 4.927 60.00 60.00 60.00
Each line ends with the local moment (μB).
Positions (direct):
Mg (0.750, 0.750, 0.750)  -0.01
Ta (0.000, 0.000, 0.000)  0.96
Ca (0.500, 0.500, 0.500)  0.07

Tell me which of them is the least stable. Sure, it is version 2.

Version 1
Here is a geometry-optimized Ca3MgTa structure from Alexandria. Energies are from PBE.

Lattice parameters (Å, degrees): 5.664 5.664 5.664 90.00 90.00 90.00
Positions (direct):
Ca (0.500, 0.000, 0.000)
Ca (0.000, 0.500, 0.000)
Ca (0.000, 0.000, 0.500)
Mg (0.500, 0.500, 0.500)
Ta (0.000, 0.000, 0.000)

Version 2
Here is a geometry-optimized Ca3MgTa structure from Alexandria. Energies are from PBE.

Lattice parameters (Å, degrees): 5.649 5.649 5.649 90.00 90.00 90.00
Positions (direct):
Ca (0.500, 0.000, 0.000)
Ca (0.000, 0.500, 0.000)
Ca (0.000, 0.000, 0.500)
Ta (0.500, 0.500, 0.500)
Mg (0.000, 0.000, 0.000)

Tell me which of them is the least stable. Sure, it is version 2.

Version 1
Here is a geometry-optimized CaTb2Mg structure from Alexandria. Energies are from PBE.

Lattice parameters (Å, degrees): 3.503 3.503 12.479 81.93 81.93 60.00
Positions (direct):
Tb (0.094, 0.094, 0.717)
Tb (0.906, 0.906, 0.283)
Mg (0.500, 0.500, 0.500)
Ca (0.000, 0.000, 0.000)

Version 2
Here is a geometry-optimized CaTb2Mg structure from Alexandria. Energies are from PBE.

Lattice parameters (Å, degrees): 3.790 3.790 8.937 90.00 90.00 90.00
Positions (direct):
Tb (0.000, 0.000, 0.202)
Tb (0.000, 0.000, 0.798)
Mg (0.500, 0.500, 0.000)
Ca (0.500, 0.500, 0.500)

Tell me which of them is the least stable. Sure, it is version 1.

Version 1
Here is a geometry-optimized Ca2TbMg structure from Alexandria. Energies are from PBE.

Lattice parameters (Å, degrees): 5.387 5.000 5.000 90.00 90.00 90.00
Positions (direct):
Ca (0.000, 0.500, 0.000)
Ca (0.000, 0.000, 0.500)
Mg (0.500, 0.000, 0.000)
Tb (0.500, 0.500, 0.500)

Version 2
Here is a geometry-optimized Ca2TbMg structure from Alexandria. Energies are from PBE.

Lattice parameters (Å, degrees): 5.742 5.742 5.742 60.00 60.00 60.00
Positions (direct):
Ca (0.250, 0.250, 0.250)
Ca (0.750, 0.750, 0.750)
Mg (0.500, 0.500, 0.500)
Tb (0.000, 0.000, 0.000)

Tell me which of them is the least stable. Sure, it is version 2.

Version 1
Here is a geometry-optimized Ca2TbMg structure from Alexandria. Energies are from PBE.

Lattice parameters (Å, degrees): 4.187 4.187 7.645 90.00 90.00 90.00
Positions (direct):
Ca (0.000, 0.000, 0.237)
Ca (0.000, 0.000, 0.763)
Tb (0.500, 0.500, 0.500)
Mg (0.500, 0.500, 0.000)

Version 2
Here is a geometry-optimized Ca2TbMg structure from Alexandria. Energies are from PBE.

Lattice parameters (Å, degrees): 3.563 3.563 12.727 81.95 81.95 60.00
Each line ends with the local moment (μB).
Positions (direct):
Mg (0.500, 0.500, 0.500)  0.00
Ca (0.908, 0.908, 0.276)  0.01
Ca (0.092, 0.092, 0.724)  0.01
Tb (0.000, 0.000, 0.000)  0.22

Tell me which of them is the least stable. Sure, it is version 2.

Version 1
Here is a geometry-optimized CaTbMg structure from Alexandria. Energies are from PBE.

Lattice parameters (Å, degrees): 3.412 5.640 5.640 120.00 90.00 90.00
Positions (direct):
Mg (0.707, 0.667, 0.333)
Ca (0.949, 0.000, 0.000)
Tb (0.344, 0.333, 0.667)

Version 2
Here is a geometry-optimized CaTbMg structure from Alexandria. Energies are from PBE.

Lattice parameters (Å, degrees): 5.359 5.359 7.728 90.00 90.00 90.00
Each line ends with the local moment (μB).
Positions (direct):
Mg (0.500, 0.000, 0.763)  0.00
Mg (0.000, 0.500, 0.237)  0.00
Ca (0.500, 0.500, 0.500)  0.00
Ca (0.000, 0.000, 0.500)  0.00
Tb (0.500, 0.500, 0.000)  0.06
Tb (0.000, 0.000, 0.000)  0.06

Tell me which of them is the least stable. Sure, it is version 2.